(1)
First-principles (PBE-GGA) data for an optimized crystal structure of LaCo2TeS, as listed in the Alexandria database.

total moment = 3.1 μB/f.u.
E_form (uncorrected) = -0.4051 eV per atom
DFT total energy = -5.6868 eV/atom
space group = P4/mmm (123)

a b c (Å): 4.3850 4.3850 5.6874
angles (deg): 90.00 90.00 90.00
Last column: nearest neighbours and their distance in Å.
Element x y z (fractional)
1 La 0.0000 0.0000 0.0000  2 S 2.84, 4 Te 3.10
2 Co 0.0000 0.5000 0.5000  2 S 2.19
3 Co 0.5000 0.0000 0.5000  2 S 2.19
4 Te 0.5000 0.5000 0.0000  4 La 3.10
5 S 0.0000 0.0000 0.5000  4 Co 2.19


(2)
First-principles (PBE-GGA) data for an optimized crystal structure of Rb2UTl2S6, as listed in the Alexandria database.

total moment = 0.0 μB/f.u.
E_form (uncorrected) = -0.8256 eV per atom
DFT total energy = -4.7093 eV/atom
space group = C2/m (12)

a b c (Å): 7.0246 7.0246 8.2627
angles (deg): 99.63 99.63 117.51
Last column: nearest neighbours and their distance in Å.
Element x y z (fractional)
1 Rb 0.1773 0.8227 0.0000  6 S 3.34-3.40
2 Rb 0.8227 0.1773 0.0000  6 S 3.34-3.40
3 U 0.0000 0.0000 0.5000  6 S 2.58-2.59
4 Tl 0.3306 0.6694 0.5000  6 S 2.90-3.04
5 Tl 0.6694 0.3306 0.5000  6 S 2.90-3.04
6 S 0.0703 0.3640 0.6992  1 U 2.58
7 S 0.2252 0.2252 0.3131  1 U 2.59
8 S 0.3640 0.0703 0.6992  1 U 2.58
9 S 0.6360 0.9297 0.3008  1 U 2.58
10 S 0.7748 0.7748 0.6869  1 U 2.59
11 S 0.9297 0.6360 0.3008  1 U 2.58


(3)
First-principles (PBE-GGA) data for an optimized crystal structure of YTl2Cl, as listed in the Alexandria database.

total moment = 0.0 μB/f.u.
E_form (uncorrected) = -0.6097 eV per atom
DFT total energy = -3.8706 eV/atom
energy above the most stable polymorph in this dataset = 0.135 eV/atom
space group = Pm (6)

a b c (Å): 3.7317 4.9620 6.3363
angles (deg): 90.00 107.06 90.00
Last column: nearest neighbours and their distance in Å.
Element x y z (fractional)
1 Y 0.0000 0.0000 0.0000  2 Cl 2.74
2 Tl 0.3700 0.5000 0.7407  3 Cl 3.30-3.33, 4 Y 3.48, 4 Tl 3.50-3.51
3 Tl 0.7346 0.0000 0.4713  3 Y 3.20-3.41, 4 Tl 3.50-3.51, 4 Cl 3.54
4 Cl 0.0949 0.5000 0.1909  2 Y 2.74